Entry 1:
A plane-wave DFT calculation with GGA-PBE was carried out for a relaxed structure of YErMgIr. Values from VASP.

Calculated values
The calculation puts the total moment at 0.000 μB per atom. Its formation enthalpy at 0 K is -0.47 eV per atom.

Structure (Quantum ESPRESSO input):
```
&SYSTEM
  ibrav = 0, nat = 4, ntyp = 4
/
ATOMIC_SPECIES
Y 88.91 Y.upf
Er 167.26 Er.upf
Mg 24.30 Mg.upf
Ir 192.22 Ir.upf
ATOMIC_POSITIONS crystal
Y 0.0000 0.0000 0.0000
Er 0.5000 0.5000 0.5000
Mg 0.7500 0.7500 0.7500
Ir 0.2500 0.2500 0.2500
CELL_PARAMETERS angstrom
0.0000 3.5423 3.5423
3.5423 0.0000 3.5423
3.5423 3.5423 0.0000
```

=====

Entry 2:
A plane-wave DFT calculation with GGA-PBE was carried out for a relaxed structure of Er2MnIr. Values from VASP.

Calculated values
The calculation puts the total moment at 0.827 μB per atom. Its formation enthalpy at 0 K is -0.37 eV per atom.

Structure (Quantum ESPRESSO input):
```
&SYSTEM
  ibrav = 0, nat = 4, ntyp = 3
/
ATOMIC_SPECIES
Er 167.26 Er.upf
Mn 54.94 Mn.upf
Ir 192.22 Ir.upf
ATOMIC_POSITIONS crystal
Er 0.0000 0.5000 0.0000
Er 0.5000 0.0000 0.0000
Mn 0.0000 0.0000 0.5000
Ir 0.5000 0.5000 0.5000
CELL_PARAMETERS angstrom
4.8152 0.0000 0.0000
0.0000 4.8152 0.0000
0.0000 0.0000 3.4903
```

=====

Entry 3:
A plane-wave DFT calculation with GGA-PBE was carried out for a relaxed structure of Er2MnIr3. Values from VASP.

Calculated values
The calculation puts the total moment at 0.414 μB per atom. Its formation enthalpy at 0 K is -0.75 eV per atom.

Structure (Quantum ESPRESSO input):
```
&SYSTEM
  ibrav = 0, nat = 12, ntyp = 3
/
ATOMIC_SPECIES
Er 167.26 Er.upf
Mn 54.94 Mn.upf
Ir 192.22 Ir.upf
ATOMIC_POSITIONS crystal
Er 0.3333 0.6667 0.0642
Er 0.3333 0.6667 0.4358
Er 0.6667 0.3333 0.5642
Er 0.6667 0.3333 0.9358
Mn 0.0000 0.0000 0.0000
Mn 0.0000 0.0000 0.5000
Ir 0.1692 0.3384 0.7500
Ir 0.1692 0.8308 0.7500
Ir 0.3384 0.1692 0.2500
Ir 0.6616 0.8308 0.7500
Ir 0.8308 0.1692 0.2500
Ir 0.8308 0.6616 0.2500
CELL_PARAMETERS angstrom
5.4362 0.0000 0.0000
-2.7181 4.7079 0.0000
0.0000 0.0000 8.2285
```

=====

Entry 4:
A plane-wave DFT calculation with GGA-PBE was carried out for a relaxed structure of ErMnIr. Values from VASP.

Calculated values
The calculation puts the total moment at 0.807 μB per atom. Its formation enthalpy at 0 K is -0.56 eV per atom.

Structure (Quantum ESPRESSO input):
```
&SYSTEM
  ibrav = 0, nat = 6, ntyp = 3
/
ATOMIC_SPECIES
Er 167.26 Er.upf
Mn 54.94 Mn.upf
Ir 192.22 Ir.upf
ATOMIC_POSITIONS crystal
Er 0.3749 0.1249 0.2500
Er 0.6251 0.8751 0.7500
Mn 0.0000 0.0000 0.5000
Mn 0.0000 0.5000 0.0000
Ir 0.0000 0.5000 0.5000
Ir 0.5000 0.5000 0.0000
CELL_PARAMETERS angstrom
-2.5787 2.7565 3.6375
2.5787 -2.7565 3.6375
2.5787 2.7565 -3.6375
```

=====

Entry 5:
A plane-wave DFT calculation with GGA-PBE was carried out for a relaxed structure of Er2MnIr. Values from VASP.

Calculated values
The calculation puts the total moment at 1.086 μB per atom. Its formation enthalpy at 0 K is 0.23 eV per atom.

Structure (Quantum ESPRESSO input):
```
&SYSTEM
  ibrav = 0, nat = 4, ntyp = 3
/
ATOMIC_SPECIES
Er 167.26 Er.upf
Mn 54.94 Mn.upf
Ir 192.22 Ir.upf
ATOMIC_POSITIONS crystal
Er 0.1102 0.1102 0.1102
Er 0.8898 0.8898 0.8898
Mn 0.0000 0.0000 0.0000
Ir 0.5000 0.5000 0.5000
CELL_PARAMETERS angstrom
1.8886 1.0904 9.5022
-1.8886 1.0904 9.5022
0.0000 -2.1808 9.5022
```

=====

Entry 6:
A plane-wave DFT calculation with GGA-PBE was carried out for a relaxed structure of ErPuMnIr. Values from VASP.

Calculated values
The calculation puts the total moment at 0.587 μB per atom. Its formation enthalpy at 0 K is -0.31 eV per atom.

Structure (Quantum ESPRESSO input):
```
&SYSTEM
  ibrav = 0, nat = 4, ntyp = 4
/
ATOMIC_SPECIES
Er 167.26 Er.upf
Pu 244.00 Pu.upf
Mn 54.94 Mn.upf
Ir 192.22 Ir.upf
ATOMIC_POSITIONS crystal
Er 0.0000 0.0000 0.0000
Pu 0.5000 0.5000 0.5000
Mn 0.2500 0.2500 0.2500
Ir 0.7500 0.7500 0.7500
CELL_PARAMETERS angstrom
0.0000 3.4044 3.4044
3.4044 0.0000 3.4044
3.4044 3.4044 0.0000
```

=====

> formation enthalpy at 0 K of number 1 (YErMgIr)?

-0.47 eV per atom

=====

> The highest total moment belongs to which entry?

number 5